# VCr2Ni2 GGA-PBE relaxed
data_VCr2Ni2
_cell_length_a 6.989
_cell_length_b 6.989
_cell_length_c 2.446
_cell_angle_alpha 90.00
_cell_angle_beta 90.00
_cell_angle_gamma 90.00
_space_group_name_H-M_alt 'P 4/m b m'
_space_group_IT_number 127
_space_group_name_Hall '-P 4 2ab'
loop_
_atom_site_label
_atom_site_fract_x
_atom_site_fract_y
_atom_site_fract_z
_atom_site_occupancy
V1 0.000 0.000 0.000 1
Cr1 0.176 0.324 0.500 1
Ni1 0.121 0.621 0.000 1
# Volume   119.5 Å³/cell
# Energy of formation   15 kJ/mol of atoms
# Energy relative to the lowest polymorph listed for this composition   0.00 kJ/mol of atoms

***

# VCrNi2 GGA-PBE relaxed
data_VCrNi2
_cell_length_a 5.813
_cell_length_b 5.813
_cell_length_c 5.813
_cell_angle_alpha 90.00
_cell_angle_beta 90.00
_cell_angle_gamma 90.00
_space_group_name_H-M_alt 'F m -3 m'
_space_group_IT_number 225
_space_group_name_Hall '-F 4 2 3'
loop_
_atom_site_label
_atom_site_fract_x
_atom_site_fract_y
_atom_site_fract_z
_atom_site_occupancy
V1 0.000 0.000 0.000 1
Cr1 0.000 0.000 0.500 1
Ni1 0.250 0.250 0.250 1
# Volume   196.4 Å³/cell
# Energy of formation   10 kJ/mol of atoms

***

# VCrNi GGA-PBE relaxed
data_VCrNi
_cell_length_a 4.0494
_cell_length_b 4.0494
_cell_length_c 5.0315
_cell_angle_alpha 90.00
_cell_angle_beta 90.00
_cell_angle_gamma 120.00
_space_group_name_H-M_alt 'P 3 m 1'
_space_group_IT_number 156
loop_
_space_group_symop_operation_xyz
'x,y,z'
'-y,x-y,z'
'-x+y,-x,z'
'-y,-x,z'
'-x+y,y,z'
'x,x-y,z'
loop_
_atom_site_label
_atom_site_fract_x
_atom_site_fract_y
_atom_site_fract_z
_atom_site_occupancy
V1 0.0000 0.0000 0.0000 1
V2 0.3333 0.6667 0.6482 1
Cr1 0.0000 0.0000 0.5058 1
Cr2 0.6667 0.3333 0.8335 1
Ni1 0.3333 0.6667 0.1435 1
Ni2 0.6667 0.3333 0.3342 1
# Volume   71.5 Å³/cell
# Energy of formation   -3 kJ/mol of atoms
# Energy relative to the lowest polymorph listed for this composition   2.73 kJ/mol of atoms

***

# VCrNi GGA-PBE relaxed
data_VCrNi
_cell_length_a 4.2074
_cell_length_b 4.2074
_cell_length_c 2.3547
_cell_angle_alpha 90.00
_cell_angle_beta 90.00
_cell_angle_gamma 120.00
_space_group_name_H-M_alt 'P 3 m 1'
_space_group_IT_number 156
loop_
_space_group_symop_operation_xyz
'x,y,z'
'-y,x-y,z'
'-x+y,-x,z'
'-y,-x,z'
'-x+y,y,z'
'x,x-y,z'
loop_
_atom_site_label
_atom_site_fract_x
_atom_site_fract_y
_atom_site_fract_z
_atom_site_occupancy
V1 0.0000 0.0000 0.0000 1
Cr1 0.6667 0.3333 0.5125 1
Ni1 0.3333 0.6667 0.4942 1
# Volume   36.1 Å³/cell
# Energy of formation   10 kJ/mol of atoms
# Energy relative to the lowest polymorph listed for this composition   15.66 kJ/mol of atoms

***

# VCr2Ni GGA-PBE relaxed
data_VCr2Ni
_cell_length_a 3.473
_cell_length_b 3.473
_cell_length_c 3.937
_cell_angle_alpha 90.00
_cell_angle_beta 90.00
_cell_angle_gamma 90.00
_space_group_name_H-M_alt 'P 4/m m m'
_space_group_IT_number 123
_space_group_name_Hall '-P 4 2'
loop_
_atom_site_label
_atom_site_fract_x
_atom_site_fract_y
_atom_site_fract_z
_atom_site_occupancy
V1 0.000 0.000 0.000 1
Cr1 0.000 0.500 0.500 1
Ni1 0.500 0.500 0.000 1
# Volume   47.5 Å³/cell
# Energy of formation   7 kJ/mol of atoms
# Energy relative to the lowest polymorph listed for this composition   0.00 kJ/mol of atoms

***

# VCrNi4 GGA-PBE relaxed
data_VCrNi4
_cell_length_a 4.827
_cell_length_b 14.037
_cell_length_c 4.725
_cell_angle_alpha 90.00
_cell_angle_beta 119.67
_cell_angle_gamma 90.00
_space_group_name_H-M_alt 'C 1 2/c 1'
_space_group_IT_number 15
loop_
_space_group_symop_operation_xyz
'x,y,z'
'-x,-y,-z'
'-x,y,-z+1/2'
'x,-y,z+1/2'
'x+1/2,y+1/2,z'
'-x+1/2,-y+1/2,-z'
'-x+1/2,y+1/2,-z+1/2'
'x+1/2,-y+1/2,z+1/2'
loop_
_atom_site_label
_atom_site_fract_x
_atom_site_fract_y
_atom_site_fract_z
_atom_site_occupancy
V1 0.000 0.125 0.250 1
Cr1 0.000 0.375 0.750 1
Ni1 0.246 0.466 0.243 1
Ni2 0.248 0.284 0.245 1
# Volume   278.2 Å³/cell
# Energy of formation   5 kJ/mol of atoms
# Energy relative to the lowest polymorph listed for this composition   12.51 kJ/mol of atoms

***

# VCrNi5 GGA-PBE relaxed
data_VCrNi5
_cell_length_a 10.419
_cell_length_b 6.800
_cell_length_c 4.603
_cell_angle_alpha 90.00
_cell_angle_beta 97.74
_cell_angle_gamma 90.00
_space_group_name_H-M_alt 'C 1 2/c 1'
_space_group_IT_number 15
loop_
_space_group_symop_operation_xyz
'x,y,z'
'-x,-y,-z'
'-x,y,-z+1/2'
'x,-y,z+1/2'
'x+1/2,y+1/2,z'
'-x+1/2,-y+1/2,-z'
'-x+1/2,y+1/2,-z+1/2'
'x+1/2,-y+1/2,z+1/2'
loop_
_atom_site_label
_atom_site_fract_x
_atom_site_fract_y
_atom_site_fract_z
_atom_site_occupancy
V1 0.000 0.247 0.250 1
Cr1 0.250 0.250 0.000 1
Ni1 0.000 0.112 0.750 1
Ni2 0.105 0.445 0.655 1
Ni3 0.190 0.094 0.506 1
# Volume   323.1 Å³/cell
# Energy of formation   -2 kJ/mol of atoms
# Energy relative to the lowest polymorph listed for this composition   0.00 kJ/mol of atoms

***

# V2CrNi9 GGA-PBE relaxed
data_V2CrNi9
_cell_length_a 3.567
_cell_length_b 3.567
_cell_length_c 10.676
_cell_angle_alpha 90.00
_cell_angle_beta 90.00
_cell_angle_gamma 90.00
_space_group_name_H-M_alt 'P 4/m m m'
_space_group_IT_number 123
_space_group_name_Hall '-P 4 2'
loop_
_atom_site_label
_atom_site_fract_x
_atom_site_fract_y
_atom_site_fract_z
_atom_site_occupancy
V1 0.000 0.000 0.170 1
Cr1 0.000 0.000 0.500 1
Ni1 0.000 0.500 0.000 1
Ni2 0.000 0.500 0.328 1
Ni3 0.500 0.500 0.164 1
Ni4 0.500 0.500 0.500 1
# Volume   135.9 Å³/cell
# Energy of formation   -13 kJ/mol of atoms